1.
An optimized crystal structure of LiPaAs2Pd2. Source: the Alexandria database, functional PBE.

Total magnetization (μB/f.u.): 0.1
Energy relative to the elements (meV/atom): -820

Cell and atoms, written as CIF:
```
data_LiPaAs2Pd2
_cell_length_a 4.258
_cell_length_b 4.258
_cell_length_c 6.676
_cell_angle_alpha 90.00
_cell_angle_beta 90.00
_cell_angle_gamma 120.00
_symmetry_space_group_name_H-M 'P 1'
_symmetry_Int_Tables_number 1
loop_
_symmetry_equiv_pos_as_xyz
'x,y,z'
loop_
_atom_site_label
_atom_site_fract_x
_atom_site_fract_y
_atom_site_fract_z
Li1 0.000 0.000 0.000
Pa1 0.000 0.000 0.500
As1 0.333 0.667 0.740
As2 0.667 0.333 0.260
Pd1 0.333 0.667 0.160
Pd2 0.667 0.333 0.840
```

=====

2.
An optimized crystal structure of PmBC2. Source: the Alexandria database, functional PBE.

Total magnetization (μB/f.u.): 0.0
Energy relative to the elements (meV/atom): 24

Cell and atoms, written as CIF:
```
data_PmBC2
_cell_length_a 7.379
_cell_length_b 3.691
_cell_length_c 4.145
_cell_angle_alpha 90.00
_cell_angle_beta 90.00
_cell_angle_gamma 90.00
_symmetry_space_group_name_H-M 'P 1'
_symmetry_Int_Tables_number 1
loop_
_symmetry_equiv_pos_as_xyz
'x,y,z'
loop_
_atom_site_label
_atom_site_fract_x
_atom_site_fract_y
_atom_site_fract_z
Pm1 0.250 0.000 0.237
Pm2 0.750 0.000 0.763
B1 0.250 0.500 0.736
B2 0.750 0.500 0.264
C1 0.073 0.500 0.909
C2 0.427 0.500 0.909
C3 0.573 0.500 0.091
C4 0.927 0.500 0.091
```

=====

3.
An optimized crystal structure of NiIrSBr2. Source: the Alexandria database, functional PBE.

Total magnetization (μB/f.u.): 2.7
Raw formation energy (eV/atom): 1.05

Cell and atoms, written as CIF:
```
data_NiIrSBr2
_cell_length_a 4.932
_cell_length_b 4.932
_cell_length_c 4.268
_cell_angle_alpha 90.00
_cell_angle_beta 90.00
_cell_angle_gamma 90.00
_symmetry_space_group_name_H-M 'P 1'
_symmetry_Int_Tables_number 1
loop_
_symmetry_equiv_pos_as_xyz
'x,y,z'
loop_
_atom_site_label
_atom_site_fract_x
_atom_site_fract_y
_atom_site_fract_z
Ni1 0.000 0.000 0.000
Ir1 0.500 0.500 0.500
S1 0.000 0.000 0.500
Br1 0.000 0.500 0.000
Br2 0.500 0.000 0.000
```

=====

4.
An optimized crystal structure of Ba2LiPt. Source: the Alexandria database, functional PBE.

Total magnetization (μB/f.u.): 0.0
Energy relative to the elements (meV/atom): -361

Cell and atoms, written as CIF:
```
data_Ba2LiPt
_cell_length_a 9.903
_cell_length_b 9.903
_cell_length_c 9.903
_cell_angle_alpha 26.48
_cell_angle_beta 26.48
_cell_angle_gamma 26.48
_symmetry_space_group_name_H-M 'P 1'
_symmetry_Int_Tables_number 1
loop_
_symmetry_equiv_pos_as_xyz
'x,y,z'
loop_
_atom_site_label
_atom_site_fract_x
_atom_site_fract_y
_atom_site_fract_z
Ba1 0.227 0.227 0.227
Ba2 0.773 0.773 0.773
Li1 0.000 0.000 0.000
Pt1 0.500 0.500 0.500
```